Entry 1:
Density functional theory data (GGA-PBE) for a relaxed structure of Sr12Li3Zn5.

```
Sr12Li3Zn5
1.0
16.882 0.000 0.000
-5.627 15.917 0.000
-5.627 -7.958 13.784
Li Zn Sr
12 20 48
Cartesian
9.848 4.974 1.723 Li
9.848 10.943 1.723 Li
-1.407 6.963 8.615 Li
1.407 -0.995 5.169 Li
12.662 0.000 3.446 Li
1.407 7.958 3.446 Li
4.221 0.000 10.338 Li
-7.034 7.958 10.338 Li
4.221 8.953 8.615 Li
7.034 0.995 5.169 Li
-4.221 -2.984 12.061 Li
-4.221 2.984 12.061 Li
-1.407 3.979 3.446 Zn
-2.814 7.958 0.000 Zn
0.000 0.000 0.000 Zn
4.221 2.984 1.723 Zn
5.627 -3.979 6.892 Zn
5.627 7.958 0.000 Zn
-4.221 8.953 5.169 Zn
7.034 -4.974 12.061 Zn
7.034 6.963 5.169 Zn
1.407 -3.979 10.338 Zn
4.221 11.937 3.446 Zn
2.814 3.979 6.892 Zn
8.441 0.000 0.000 Zn
-2.814 -3.979 6.892 Zn
-1.407 0.995 8.615 Zn
-1.407 12.932 1.723 Zn
-5.627 3.979 6.892 Zn
9.848 -0.995 8.615 Zn
1.407 4.974 12.061 Zn
7.034 3.979 10.338 Zn
11.131 1.589 0.537 Sr
0.124 5.239 5.784 Sr
12.462 3.768 3.968 Sr
7.234 2.426 1.645 Sr
2.212 5.977 9.279 Sr
11.984 7.860 2.386 Sr
-1.207 9.300 5.613 Sr
-4.420 13.490 1.645 Sr
0.602 9.939 9.279 Sr
7.712 8.057 2.386 Sr
8.565 4.309 5.247 Sr
8.565 14.327 0.537 Sr
-5.026 7.045 7.429 Sr
3.543 5.941 1.279 Sr
-5.751 11.608 5.247 Sr
2.937 -2.719 8.000 Sr
-0.602 1.068 2.924 Sr
3.543 10.074 1.108 Sr
7.234 12.149 3.968 Sr
-0.729 5.842 1.108 Sr
-3.415 9.026 10.860 Sr
4.021 6.617 5.613 Sr
7.839 8.872 7.429 Sr
6.357 -2.017 12.505 Sr
1.606 1.341 8.171 Sr
-2.212 -0.913 6.355 Sr
-0.729 9.976 1.279 Sr
-1.606 -4.191 9.816 Sr
9.043 -1.068 2.924 Sr
6.357 2.116 12.676 Sr
2.084 -2.116 12.676 Sr
2.690 10.678 5.784 Sr
6.229 6.891 10.860 Sr
11.379 -3.650 8.537 Sr
10.653 0.913 6.355 Sr
-2.937 -6.369 13.247 Sr
2.084 2.017 12.505 Sr
5.026 -1.981 4.506 Sr
-2.084 -0.099 11.398 Sr
-2.937 3.650 8.537 Sr
10.047 -5.532 12.139 Sr
6.835 -1.341 8.171 Sr
-1.606 5.532 12.139 Sr
-6.357 0.099 11.398 Sr
3.415 1.981 4.506 Sr
-6.835 4.191 9.816 Sr
5.504 2.719 8.000 Sr
-5.504 6.369 13.247 Sr
```

Space-group type: No. 230
E_tot: -1.45 eV/atom

***

Entry 2:
Density functional theory data (GGA-PBE) for a relaxed structure of Sm6CoOs2Br3.

```
Sm6CoOs2Br3
1.0
-2.679 -4.454 -4.641
6.912 0.623 0.632
-1.397 -4.342 6.720
Sm Co Os Br
6 1 2 3
Cartesian
0.562 -7.279 1.450 Sm
2.849 -3.682 -1.636 Sm
2.274 -0.893 1.261 Sm
3.714 -5.610 3.183 Sm
-0.013 -4.490 4.347 Sm
-0.878 -2.562 -0.472 Sm
0.000 0.000 0.000 Co
3.708 -1.073 -1.129 Os
0.524 -2.758 -2.880 Os
4.600 -2.401 3.106 Br
-1.764 -5.771 -0.394 Br
1.418 -4.086 1.356 Br
```

Space-group type: No. 12
E_tot: -5.91 eV/atom

***

Entry 3:
Density functional theory data (GGA-PBE) for a relaxed structure of MnAlNi2.

```
MnAlNi2
1.0
4.075 0.000 0.000
2.038 3.529 0.000
2.038 1.176 3.327
Ni Mn Al
2 1 1
Cartesian
0.000 0.000 0.000 Ni
6.113 3.529 2.495 Ni
2.038 1.176 0.832 Mn
4.075 2.353 1.664 Al
```

Space-group type: No. 216
E_tot: -6.37 eV/atom

***

Entry 4:
Density functional theory data (GGA-PBE) for a relaxed structure of BeNiP2S.

```
BeNiP2S
1.0
4.236 0.000 0.000
0.000 4.236 0.000
0.000 0.000 4.798
Ni S Be P
1 1 1 2
Cartesian
0.000 0.000 0.000 Ni
0.000 0.000 2.399 S
2.118 2.118 2.399 Be
0.000 2.118 0.000 P
2.118 0.000 0.000 P
```

Space-group type: No. 123
E_tot: -4.01 eV/atom
Relative energy among the computed polymorphs: 105 meV/atom

***

Entry 5:
Density functional theory data (GGA-PBE) for a relaxed structure of V2RuRh3.

```
V2RuRh3
1.0
0.139 2.755 -4.201
1.895 -4.619 -0.543
-7.566 -1.539 0.535
V Ru Rh
4 2 6
Cartesian
-1.648 0.048 -1.510 V
-3.884 -3.451 -2.699 V
-4.903 -2.531 -0.304 V
-0.629 -0.871 -3.905 V
0.093 -1.298 -0.243 Ru
-5.625 -2.104 -3.966 Ru
-1.602 -2.603 -2.048 Rh
-3.930 -0.800 -2.161 Rh
-3.047 -4.499 -0.334 Rh
-2.485 1.097 -3.875 Rh
1.114 -2.229 -2.613 Rh
-6.646 -1.174 -1.596 Rh
```

Space-group type: No. 15
E_tot: -8.52 eV/atom
Relative energy among the computed polymorphs: 38 meV/atom

***

Entry 6:
Density functional theory data (GGA-PBE) for a relaxed structure of LaZr2WS.

```
LaZr2WS
1.0
5.174 0.000 0.000
0.000 4.802 0.000
0.000 0.000 5.174
S Zr W La
1 2 1 1
Cartesian
2.587 2.401 2.587 S
0.000 0.000 2.587 Zr
2.587 0.000 0.000 Zr
0.000 2.401 0.000 W
0.000 0.000 0.000 La
```

Space-group type: No. 123
E_tot: -5.96 eV/atom